DFT (PBE) results for a relaxed AlCrTe2 crystal.

Summary:
crystal system: monoclinic
total moment: 4.17 μB/f.u.
symmetry: P2/m, No. 10
formation energy from raw total energies: 0.14 eV per atom

Structure (POSCAR):
```
AlCrTe2
1.0
3.751 0.000 0.000
0.000 4.027 -1.258
0.000 -1.954 7.662
Cr Te Al
1 2 1
direct
0.500 0.750 0.750
0.000 0.795 0.504
0.000 0.705 0.996
0.500 0.250 0.250
```